Here is a PBEsol-optimized structure of Hg2MoBr from Alexandria via LeMat-Bulk. Energies are from SCAN.

abc: 5.9803 5.9803 5.9803
angles: 140.69 140.69 56.81
With the nearest neighbours (Å) after each atom.
Element x y z (fractional)
Hg (0.2500, 0.7500, 0.5000)  4 Hg 2.84
Hg (0.7500, 0.2500, 0.5000)  4 Hg 2.84
Mo (0.0000, 0.0000, 0.0000)  4 Br 2.84
Br (0.5000, 0.5000, 0.0000)  4 Mo 2.84

Computed properties:
The uncorrected formation energy comes out at 0.660 eV per atom.